Record 1
CeAgI2 | PBE | relaxed

Results
electronic total energy: -3.188 eV per atom
DOS(E_F): 2.29 states/eV/atom
SG: R-3m, No. 166
uncorrected formation energy: -0.2164 eV/atom
magnetization: 0.374 μB per atom

a b c (Å): 4.2039 4.2039 10.1136
angles (deg): 78.00 78.00 60.00
With the nearest neighbours (Å) after each atom.
Atoms (fractional coordinates):
I1 0.1056 0.1056 0.6831  3 Ag 3.02, 1 Ce 3.11
I2 0.8944 0.8944 0.3169  3 Ag 3.02, 1 Ce 3.11
Ag1 0.5000 0.5000 0.5000  6 I 3.02
Ce1 0.0000 0.0000 0.0000  2 I 3.11


Record 2
CeAg2I6 | PBE | relaxed

Results
electronic total energy: -3.055 eV per atom
SG: P2_1/c, No. 14
uncorrected formation energy: -0.7290 eV/atom
magnetization: 0.000 μB per atom

a b c (Å): 7.6544 8.4680 13.0812
angles (deg): 90.00 78.00 90.00
With the nearest neighbours (Å) after each atom.
Atoms (fractional coordinates):
Ce1 0.5000 0.5000 0.0000  6 I 2.99-3.14
Ce2 0.0000 0.0000 0.5000  6 I 2.99-3.14
Ag1 0.0029 0.5909 0.5992  4 I 2.80-2.91, 1 Ag 3.03
Ag2 0.4971 0.0909 0.9008  4 I 2.80-2.91, 1 Ag 3.03
Ag3 0.5029 0.9091 0.0992  4 I 2.80-2.91, 1 Ag 3.03
Ag4 0.9971 0.4091 0.4008  4 I 2.80-2.91, 1 Ag 3.03
I1 0.2802 0.9475 0.3070  1 Ag 2.91, 1 Ce 2.99
I2 0.2060 0.3045 0.5436  2 Ag 2.84-2.89, 1 Ce 3.14
I3 0.2636 0.3337 0.8731  1 Ag 2.80, 1 Ce 3.04
I4 0.2364 0.8337 0.6269  1 Ag 2.80, 1 Ce 3.04
I5 0.2940 0.8045 0.9564  2 Ag 2.84-2.89, 1 Ce 3.14
I6 0.2198 0.4475 0.1930  1 Ag 2.91, 1 Ce 2.99
I7 0.7198 0.0525 0.6930  1 Ag 2.91, 1 Ce 2.99
I8 0.7940 0.6955 0.4564  2 Ag 2.84-2.89, 1 Ce 3.14
I9 0.7364 0.6663 0.1269  1 Ag 2.80, 1 Ce 3.04
I10 0.7636 0.1663 0.3731  1 Ag 2.80, 1 Ce 3.04
I11 0.7060 0.1955 0.0436  2 Ag 2.84-2.89, 1 Ce 3.14
I12 0.7802 0.5525 0.8070  1 Ag 2.91, 1 Ce 2.99


Repeat the first record exactly.
CeAgI2 | PBE | relaxed

Results
electronic total energy: -3.188 eV per atom
DOS(E_F): 2.29 states/eV/atom
SG: R-3m, No. 166
uncorrected formation energy: -0.2164 eV/atom
magnetization: 0.374 μB per atom

a b c (Å): 4.2039 4.2039 10.1136
angles (deg): 78.00 78.00 60.00
With the nearest neighbours (Å) after each atom.
Atoms (fractional coordinates):
I1 0.1056 0.1056 0.6831  3 Ag 3.02, 1 Ce 3.11
I2 0.8944 0.8944 0.3169  3 Ag 3.02, 1 Ce 3.11
Ag1 0.5000 0.5000 0.5000  6 I 3.02
Ce1 0.0000 0.0000 0.0000  2 I 3.11


Which formula does entry 2 have? CeAg2I6


The highest magnetization belongs to which entry? CeAgI2